{"formula": "LiZr2PtN", "functional": "PBE-GGA", "state": "optimized geometry", "raw_formation_energy_ev_per_atom": -1.041, "n_ef_per_ev_atom": 0.45, "rho_g_cm3": 8.6, "total_magnetization_mub_per_fu": 0.000, "spacegroup": "P4/mmm", "lattice_angstrom": [[4.472, 0.000, 0.000], [0.000, 4.472, 0.000], [0.000, 0.000, 3.842]], "species": ["Zr", "Zr", "Li", "Pt", "N"], "frac_coords": [[0.000, 0.500, 0.000], [0.500, 0.000, 0.000], [0.000, 0.000, 0.500], [0.500, 0.500, 0.500], [0.000, 0.000, 0.000]]}

***

{"formula": "U2Ga9Ag", "functional": "PBE-GGA", "state": "optimized geometry", "energy_ev_per_atom": -4.508, "n_ef_per_ev_atom": 1.05, "rho_g_cm3": 8.9, "total_magnetization_mub_per_fu": 4.733, "spacegroup": "P4/mmm", "lattice_angstrom": [[-2.916, 2.414, 1.968], [-2.415, -3.455, 0.660], [5.726, -1.930, 10.850]], "species": ["Ga", "Ga", "Ga", "Ga", "Ga", "Ga", "Ga", "Ga", "Ga", "U", "U", "Ag"], "frac_coords": [[0.500, 0.000, 0.500], [0.000, 0.500, 0.845], [0.000, 0.500, 0.500], [0.500, 0.000, 0.155], [0.500, 0.500, 0.662], [0.000, 0.500, 0.155], [0.500, 0.000, 0.845], [0.500, 0.500, 0.338], [0.500, 0.500, 0.000], [0.000, 0.000, 0.326], [0.000, 0.000, 0.674], [0.000, 0.000, 0.000]]}

***

{"formula": "AcPr2Pt2", "functional": "PBE-GGA", "state": "optimized geometry", "de_polymorph_ev_per_atom": 0.011, "n_ef_per_ev_atom": 0.81, "rho_g_cm3": 10.8, "total_magnetization_mub_per_fu": 0.000, "spacegroup": "P4/mbm", "lattice_angstrom": [[-3.743, 0.911, -1.481], [2.153, -3.030, -7.305], [-2.700, -7.398, 2.272]], "species": ["Pr", "Pr", "Pr", "Pr", "Pt", "Pt", "Pt", "Pt", "Ac", "Ac"], "frac_coords": [[0.500, 0.842, 0.342], [0.500, 0.658, 0.842], [0.500, 0.158, 0.658], [0.500, 0.342, 0.158], [0.000, 0.868, 0.632], [0.000, 0.368, 0.868], [0.000, 0.632, 0.132], [0.000, 0.132, 0.368], [0.000, 0.500, 0.500], [0.000, 0.000, 0.000]]}